1.
{"formula": "CaP3O9", "functional": "PBE", "state": "optimized geometry", "dft_energy_ev_per_cell": -183.09, "rho_g_cm3": 2.53, "volume_a3_per_atom": 14.0, "raw_formation_energy_ev_per_atom": -2.207, "cell": [[4.3338, -5.6674, 0.0000], [4.3338, 5.6674, 0.0000], [0.0000, 0.0000, 7.3902]], "species": ["Ca", "Ca", "P", "P", "P", "P", "P", "P", "O", "O", "O", "O", "O", "O", "O", "O", "O", "O", "O", "O", "O", "O", "O", "O", "O", "O"], "frac_coords": [[0.1166, 0.1166, 0.0000], [0.8834, 0.8834, 0.5000], [0.2453, 0.2453, 0.5000], [0.3205, 0.6631, 0.9540], [0.3369, 0.6795, 0.5460], [0.6631, 0.3205, 0.0460], [0.6795, 0.3369, 0.4540], [0.7547, 0.7547, 0.0000], [0.1352, 0.1750, 0.6703], [0.1750, 0.1352, 0.3297], [0.1836, 0.7863, 0.5316], [0.2137, 0.8164, 0.9684], [0.2249, 0.4675, 0.0359], [0.2554, 0.4701, 0.4569], [0.3758, 0.6242, 0.7500], [0.4675, 0.2249, 0.9641], [0.4701, 0.2554, 0.5431], [0.5299, 0.7446, 0.0431], [0.5325, 0.7751, 0.4641], [0.6242, 0.3758, 0.2500], [0.7446, 0.5299, 0.9569], [0.7751, 0.5325, 0.5359], [0.7863, 0.1836, 0.4684], [0.8164, 0.2137, 0.0316], [0.8250, 0.8648, 0.8297], [0.8648, 0.8250, 0.1703]]}

2.
{"formula": "CaPPbO2", "functional": "PBE", "state": "optimized geometry", "dft_energy_ev_per_cell": -22.85, "rho_g_cm3": 4.85, "volume_a3_per_atom": 21.3, "raw_formation_energy_ev_per_atom": -0.364, "cell": [[4.3270, 0.0000, 0.0000], [0.0000, 4.3270, 0.0000], [0.0000, 0.0000, 5.6775]], "species": ["Ca", "P", "Pb", "O", "O"], "frac_coords": [[0.0000, 0.0000, 0.0000], [0.0000, 0.0000, 0.5000], [0.5000, 0.5000, 0.5000], [0.0000, 0.5000, 0.0000], [0.5000, 0.0000, 0.0000]]}

3.
{"formula": "CaPPbO2", "functional": "PBE", "state": "optimized geometry", "dft_energy_ev_per_cell": -23.77, "rho_g_cm3": 5.22, "volume_a3_per_atom": 19.7, "raw_formation_energy_ev_per_atom": -0.546, "cell": [[4.3314, 0.0000, 0.0000], [0.0000, 4.3314, 0.0000], [0.0000, 0.0000, 5.2593]], "species": ["Ca", "P", "Pb", "O", "O"], "frac_coords": [[0.0000, 0.0000, 0.0000], [0.5000, 0.5000, 0.0000], [0.5000, 0.5000, 0.5000], [0.0000, 0.5000, 0.5000], [0.5000, 0.0000, 0.5000]]}

4.
{"formula": "CaP2PdO", "functional": "PBE", "state": "optimized geometry", "dft_energy_ev_per_cell": -23.59, "rho_g_cm3": 4.00, "volume_a3_per_atom": 18.6, "raw_formation_energy_ev_per_atom": -0.124, "cell": [[4.6781, 0.0000, 0.0000], [0.0000, 4.6781, 0.0000], [0.0000, 0.0000, 4.2600]], "species": ["Ca", "P", "P", "Pd", "O"], "frac_coords": [[0.0000, 0.0000, 0.0000], [0.0000, 0.5000, 0.5000], [0.5000, 0.0000, 0.5000], [0.5000, 0.5000, 0.5000], [0.5000, 0.5000, 0.0000]]}

5.
{"formula": "CaPPdO2", "functional": "PBE", "state": "optimized geometry", "dft_energy_ev_per_cell": -21.58, "rho_g_cm3": 3.39, "volume_a3_per_atom": 20.5, "raw_formation_energy_ev_per_atom": 0.189, "cell": [[4.1007, 0.0000, 0.0000], [0.0000, 4.1007, 0.0000], [0.0000, 0.0000, 6.1071]], "species": ["Ca", "P", "Pd", "O", "O"], "frac_coords": [[0.0000, 0.0000, 0.0000], [0.0000, 0.0000, 0.5000], [0.5000, 0.5000, 0.5000], [0.0000, 0.5000, 0.0000], [0.5000, 0.0000, 0.0000]]}

6.
{"formula": "CaP2PdO", "functional": "PBE", "state": "optimized geometry", "dft_energy_ev_per_cell": -19.19, "rho_g_cm3": 3.32, "volume_a3_per_atom": 22.4, "raw_formation_energy_ev_per_atom": 0.756, "cell": [[5.2556, 0.0000, 0.0000], [0.0000, 5.2556, 0.0000], [0.0000, 0.0000, 4.0582]], "species": ["Ca", "P", "P", "Pd", "O"], "frac_coords": [[0.0000, 0.0000, 0.0000], [0.0000, 0.5000, 0.0000], [0.5000, 0.0000, 0.0000], [0.5000, 0.5000, 0.5000], [0.0000, 0.0000, 0.5000]]}

7.
{"formula": "CaPPdO2", "functional": "PBE", "state": "optimized geometry", "dft_energy_ev_per_cell": -24.84, "rho_g_cm3": 4.38, "volume_a3_per_atom": 15.9, "raw_formation_energy_ev_per_atom": -0.465, "cell": [[4.2092, 0.0000, 0.0000], [0.0000, 4.2092, 0.0000], [0.0000, 0.0000, 4.4871]], "species": ["Ca", "P", "Pd", "O", "O"], "frac_coords": [[0.0000, 0.0000, 0.0000], [0.5000, 0.5000, 0.0000], [0.5000, 0.5000, 0.5000], [0.0000, 0.5000, 0.5000], [0.5000, 0.0000, 0.5000]]}

8.
{"formula": "CaPm2PO8", "functional": "PBE", "state": "optimized geometry", "dft_energy_ev_per_cell": -82.76, "rho_g_cm3": 5.26, "volume_a3_per_atom": 12.9, "raw_formation_energy_ev_per_atom": -2.182, "cell": [[5.1635, 0.0000, 0.0000], [-2.5818, 4.4717, 0.0000], [0.0000, 0.0000, 6.6861]], "species": ["Ca", "Pm", "Pm", "P", "O", "O", "O", "O", "O", "O", "O", "O"], "frac_coords": [[0.0000, 0.0000, 0.0000], [0.3333, 0.6667, 0.3590], [0.6667, 0.3333, 0.6410], [0.0000, 0.0000, 0.5000], [0.1541, 0.3083, 0.6487], [0.1541, 0.8459, 0.6487], [0.3083, 0.1541, 0.3513], [0.3333, 0.6667, 0.0263], [0.6667, 0.3333, 0.9737], [0.6917, 0.8459, 0.6487], [0.8459, 0.1541, 0.3513], [0.8459, 0.6917, 0.3513]]}

9.
{"formula": "CaPrP2O8", "functional": "PBE", "state": "optimized geometry", "dft_energy_ev_per_cell": -88.69, "rho_g_cm3": 3.46, "volume_a3_per_atom": 14.8, "raw_formation_energy_ev_per_atom": -2.618, "cell": [[5.2735, 0.0000, 0.0000], [-2.6367, 4.5670, 0.0000], [0.0000, 0.0000, 7.3947]], "species": ["Ca", "Pr", "P", "P", "O", "O", "O", "O", "O", "O", "O", "O"], "frac_coords": [[0.0000, 0.0000, 0.0000], [0.0000, 0.0000, 0.5000], [0.3333, 0.6667, 0.2992], [0.6667, 0.3333, 0.7008], [0.1734, 0.3468, 0.2303], [0.1734, 0.8266, 0.2303], [0.3333, 0.6667, 0.5084], [0.3468, 0.1734, 0.7697], [0.6532, 0.8266, 0.2303], [0.6667, 0.3333, 0.4916], [0.8266, 0.1734, 0.7697], [0.8266, 0.6532, 0.7697]]}

10.
{"formula": "CaP2PtO8", "functional": "PBE", "state": "optimized geometry", "dft_energy_ev_per_cell": -81.61, "rho_g_cm3": 4.86, "volume_a3_per_atom": 12.1, "raw_formation_energy_ev_per_atom": -1.924, "cell": [[4.7869, 0.0000, 0.0000], [-2.3934, 4.1455, 0.0000], [0.0000, 0.0000, 7.3249]], "species": ["Ca", "P", "P", "Pt", "O", "O", "O", "O", "O", "O", "O", "O"], "frac_coords": [[0.0000, 0.0000, 0.0000], [0.3333, 0.6667, 0.7434], [0.6667, 0.3333, 0.2566], [0.0000, 0.0000, 0.5000], [0.0410, 0.3373, 0.6802], [0.2963, 0.9590, 0.6802], [0.3333, 0.6667, 0.9510], [0.3373, 0.2963, 0.3198], [0.6627, 0.7037, 0.6802], [0.6667, 0.3333, 0.0490], [0.7037, 0.0410, 0.3198], [0.9590, 0.6627, 0.3198]]}

11.
{"formula": "CaP2PtO", "functional": "PBE", "state": "optimized geometry", "dft_energy_ev_per_cell": -24.66, "rho_g_cm3": 5.46, "volume_a3_per_atom": 19.0, "raw_formation_energy_ev_per_atom": -0.168, "cell": [[4.9645, 0.0000, 0.0000], [0.0000, 4.9645, 0.0000], [0.0000, 0.0000, 3.8609]], "species": ["Ca", "P", "P", "Pt", "O"], "frac_coords": [[0.0000, 0.0000, 0.0000], [0.0000, 0.5000, 0.5000], [0.5000, 0.0000, 0.5000], [0.5000, 0.5000, 0.5000], [0.5000, 0.5000, 0.0000]]}

12.
{"formula": "CaP2PtO", "functional": "PBE", "state": "optimized geometry", "dft_energy_ev_per_cell": -19.27, "rho_g_cm3": 4.84, "volume_a3_per_atom": 21.5, "raw_formation_energy_ev_per_atom": 0.910, "cell": [[5.2112, 0.0000, 0.0000], [0.0000, 5.2112, 0.0000], [0.0000, 0.0000, 3.9575]], "species": ["Ca", "P", "P", "Pt", "O"], "frac_coords": [[0.0000, 0.0000, 0.0000], [0.0000, 0.5000, 0.0000], [0.5000, 0.0000, 0.0000], [0.5000, 0.5000, 0.5000], [0.0000, 0.0000, 0.5000]]}

What did the fifth record say?
{"formula": "CaPPdO2", "functional": "PBE", "state": "optimized geometry", "dft_energy_ev_per_cell": -21.58, "rho_g_cm3": 3.39, "volume_a3_per_atom": 20.5, "raw_formation_energy_ev_per_atom": 0.189, "cell": [[4.1007, 0.0000, 0.0000], [0.0000, 4.1007, 0.0000], [0.0000, 0.0000, 6.1071]], "species": ["Ca", "P", "Pd", "O", "O"], "frac_coords": [[0.0000, 0.0000, 0.0000], [0.0000, 0.0000, 0.5000], [0.5000, 0.5000, 0.5000], [0.0000, 0.5000, 0.0000], [0.5000, 0.0000, 0.0000]]}